Below is a geometry-optimized PuVBiO6 structure, with properties calculated at the PBE+U level.

Cell and atoms, written as CIF:
```
data_PuVBiO6
_chemical_formula_sum 'Pu2 V2 Bi2 O12'
_cell_length_a 5.4063
_cell_length_b 5.4063
_cell_length_c 10.0060
_cell_angle_alpha 90.00
_cell_angle_beta 90.00
_cell_angle_gamma 120.00
_space_group_name_H-M_alt 'P -3 1 c'
_space_group_IT_number 163
_space_group_name_Hall '-P 3 2c'
loop_
_atom_site_label
_atom_site_type_symbol
_atom_site_fract_x
_atom_site_fract_y
_atom_site_fract_z
_atom_site_occupancy
Pu1 Pu 0.3333 0.6667 0.2500 1
V1 V 0.3333 0.6667 0.7500 1
Bi1 Bi 0.0000 0.0000 0.0000 1
O1 O 0.0125 0.3647 0.6398 1
```

Output
Theoretical density = 7.867 g/cm³
Fermi-level density of states = 11.766 states/eV per cell
Total energy = -0.301 hartree per atom
Spin magnetization = 8.000 Bohr magnetons per cell